# 1
# Hf2PCO (GGA-PBEsol, optimized geometry)
# formation energy from raw total energies = -0.37 eV/atom
data_Hf2PCO
_chemical_formula_sum 'Hf2 P1 C1 O1'
_cell_length_a 4.430
_cell_length_b 4.430
_cell_length_c 3.499
_cell_angle_alpha 90.00
_cell_angle_beta 90.00
_cell_angle_gamma 90.00
_space_group_name_H-M_alt 'P 4/m m m'
_space_group_IT_number 123
_space_group_name_Hall '-P 4 2'
loop_
_atom_site_label
_atom_site_type_symbol
_atom_site_fract_x
_atom_site_fract_y
_atom_site_fract_z
Hf1 Hf 0.000 0.500 0.000
P1 P 0.000 0.000 0.500
C1 C 0.500 0.500 0.000
O1 O 0.500 0.500 0.500

# 2
# NaCaMg2Ge (GGA-PBEsol, optimized geometry)
# formation energy from the elements = -0.6 kJ per mole of atoms
data_NaCaMg2Ge
_chemical_formula_sum 'Na1 Ca1 Mg2 Ge1'
_cell_length_a 5.194
_cell_length_b 5.194
_cell_length_c 5.672
_cell_angle_alpha 90.00
_cell_angle_beta 90.00
_cell_angle_gamma 90.00
_space_group_name_H-M_alt 'P 4/m m m'
_space_group_IT_number 123
_space_group_name_Hall '-P 4 2'
loop_
_atom_site_label
_atom_site_type_symbol
_atom_site_fract_x
_atom_site_fract_y
_atom_site_fract_z
Na1 Na 0.000 0.000 0.000
Ca1 Ca 0.500 0.500 0.000
Mg1 Mg 0.000 0.500 0.500
Ge1 Ge 0.500 0.500 0.500

no.,uncorrected energy (eV/atom),DOS at the Fermi energy (states/eV/atom)
1,-8.71,0.5030
2,-2.39,0.6571